VASP calculation (GGA-PBE) on crystalline AlTl2Sb at its relaxed geometry.

- Total magnetization: 0.00 Bohr magnetons per cell
- Space-group type: No. 12

Lattice parameters (Å, degrees): 7.6274 7.6274 5.0916 71.23 71.23 24.60
Element x y z (fractional)
Sb: 0.2500 0.2500 0.2500
Al: 0.7500 0.7500 0.7500
Tl: 0.4336 0.4336 0.5636
Tl: 0.0664 0.0664 0.9364

VASP calculation (GGA-PBE) on crystalline TlSi2Tc at its relaxed geometry.

- Total magnetization: 0.00 Bohr magnetons per cell
- Space-group type: No. 139

Lattice parameters (Å, degrees): 4.8819 4.8819 4.8819 130.06 130.06 73.31
Element x y z (fractional)
Tl: 0.7500 0.2500 0.5000
Si: 0.5000 0.5000 0.0000
Si: 0.0000 0.0000 0.0000
Tc: 0.2500 0.7500 0.5000

Result set for total DFT energy (no corrections): -2.9804; -5.2209 eV/atom, one per record in the order listed.